Below is Li2Fe after structural relaxation, with properties calculated at the PBE level.

Summary:
crystal system	cubic
ΔH_f (0 K)	0.8630	eV per atom

Structure (CIF):
```
data_Li2Fe
_cell_length_a 6.0623
_cell_length_b 6.0623
_cell_length_c 6.0623
_cell_angle_alpha 90.00
_cell_angle_beta 90.00
_cell_angle_gamma 90.00
_space_group_name_H-M_alt 'F m -3 m'
_space_group_IT_number 225
_space_group_name_Hall '-F 4 2 3'
loop_
_atom_site_label
_atom_site_type_symbol
_atom_site_fract_x
_atom_site_fract_y
_atom_site_fract_z
Li1 Li 0.2500 0.2500 0.2500
Fe1 Fe 0.0000 0.0000 0.0000
```